No. 1
DFT (PBE-GGA) results for LiBW2 after structural relaxation.

Calculated values
space group: F-43m (216)
spin magnetization: 0.0 μB per formula unit
energy: -31.6 eV/f.u.

Lattice parameters (Å, degrees): 4.197 4.197 4.197 60.00 60.00 60.00
Fractional positions:
1 W 0.000 0.000 0.000
2 W 0.750 0.750 0.750
3 Li 0.250 0.250 0.250
4 B 0.500 0.500 0.500


No. 2
DFT (PBE-GGA) results for LiB4W after structural relaxation.

Calculated values
polymorph energy (0 for the lowest one): 251 meV/atom
space group: Pbam (55)
spin magnetization: 0.0 μB per formula unit
energy: -41.9 eV/f.u.

Lattice parameters (Å, degrees): 5.964 11.559 3.356 90.00 90.00 90.00
Fractional positions:
1 B 0.876 0.553 0.500
2 B 0.376 0.947 0.500
3 B 0.373 0.532 0.500
4 B 0.627 0.468 0.500
5 B 0.512 0.199 0.500
6 B 0.488 0.801 0.500
7 B 0.124 0.447 0.500
8 B 0.806 0.812 0.500
9 B 0.988 0.699 0.500
10 B 0.194 0.188 0.500
11 B 0.306 0.688 0.500
12 B 0.012 0.301 0.500
13 B 0.624 0.053 0.500
14 B 0.873 0.968 0.500
15 B 0.694 0.312 0.500
16 B 0.127 0.032 0.500
17 W 0.139 0.588 0.000
18 W 0.361 0.088 0.000
19 W 0.639 0.912 0.000
20 W 0.861 0.412 0.000
21 Li 0.377 0.347 0.000
22 Li 0.123 0.847 0.000
23 Li 0.623 0.653 0.000
24 Li 0.877 0.153 0.000


No. 3
DFT (PBE-GGA) results for LiB4W after structural relaxation.

Calculated values
polymorph energy (0 for the lowest one): 0 meV/atom
space group: Immm (71)
spin magnetization: 0.0 μB per formula unit
energy: -43.4 eV/f.u.

Lattice parameters (Å, degrees): 4.411 4.411 4.411 140.32 107.21 86.24
Fractional positions:
1 W 0.000 0.000 0.000
2 B 0.416 0.752 0.664
3 B 0.912 0.248 0.664
4 B 0.584 0.248 0.336
5 B 0.088 0.752 0.336
6 Li 0.500 0.500 0.000


No. 4
DFT (PBE-GGA) results for LiB4W after structural relaxation.

Calculated values
polymorph energy (0 for the lowest one): 24 meV/atom
space group: P6/mmm (191)
spin magnetization: 0.0 μB per formula unit
energy: -43.2 eV/f.u.

Lattice parameters (Å, degrees): 2.969 2.969 6.997 90.00 90.00 120.00
Fractional positions:
1 B 0.667 0.333 0.260
2 B 0.333 0.667 0.740
3 B 0.667 0.333 0.740
4 B 0.333 0.667 0.260
5 Li 0.000 0.000 0.000
6 W 0.000 0.000 0.500


No. 5
DFT (PBE-GGA) results for LiBW after structural relaxation.

Calculated values
polymorph energy (0 for the lowest one): 881 meV/atom
space group: F-43m (216)
spin magnetization: 0.0 μB per formula unit
energy: -17.8 eV/f.u.

Lattice parameters (Å, degrees): 3.759 3.759 3.759 60.00 60.00 60.00
Fractional positions:
1 Li 0.750 0.750 0.750
2 B 0.250 0.250 0.250
3 W 0.000 0.000 0.000


No. 6
DFT (PBE-GGA) results for Li2B6W after structural relaxation.

Calculated values
space group: Pbam (55)
spin magnetization: 0.0 μB per formula unit
energy: -57.2 eV/f.u.

Lattice parameters (Å, degrees): 9.032 11.129 3.296 90.00 90.00 90.00
Fractional positions:
1 B 0.522 0.788 0.500
2 B 0.596 0.474 0.500
3 B 0.022 0.712 0.500
4 B 0.948 0.562 0.500
5 B 0.404 0.526 0.500
6 B 0.265 0.424 0.500
7 B 0.235 0.924 0.500
8 B 0.872 0.824 0.500
9 B 0.803 0.241 0.500
10 B 0.628 0.324 0.500
11 B 0.697 0.741 0.500
12 B 0.904 0.974 0.500
13 B 0.096 0.026 0.500
14 B 0.128 0.176 0.500
15 B 0.197 0.759 0.500
16 B 0.448 0.938 0.500
17 B 0.052 0.438 0.500
18 B 0.765 0.076 0.500
19 B 0.372 0.676 0.500
20 B 0.735 0.576 0.500
21 B 0.552 0.062 0.500
22 B 0.978 0.288 0.500
23 B 0.303 0.259 0.500
24 B 0.478 0.212 0.500
25 Li 0.447 0.368 0.000
26 Li 0.053 0.868 0.000
27 Li 0.947 0.132 0.000
28 Li 0.329 0.089 0.000
29 Li 0.829 0.411 0.000
30 Li 0.171 0.589 0.000
31 Li 0.671 0.911 0.000
32 Li 0.553 0.632 0.000
33 W 0.149 0.319 0.000
34 W 0.851 0.681 0.000
35 W 0.351 0.819 0.000
36 W 0.649 0.181 0.000


No. 7
DFT (PBE-GGA) results for LiBW after structural relaxation.

Calculated values
polymorph energy (0 for the lowest one): 0 meV/atom
space group: F-43m (216)
spin magnetization: 0.0 μB per formula unit
energy: -20.4 eV/f.u.

Lattice parameters (Å, degrees): 3.633 3.633 3.633 60.00 60.00 60.00
Fractional positions:
1 B 0.000 0.000 0.000
2 Li 0.250 0.250 0.250
3 W 0.750 0.750 0.750


No. 8
DFT (PBE-GGA) results for LiZnB after structural relaxation.

Calculated values
polymorph energy (0 for the lowest one): 0 meV/atom
space group: F-43m (216)
energy: -8.6 eV/f.u.

Lattice parameters (Å, degrees): 3.679 3.679 3.679 60.00 60.00 60.00
Fractional positions:
1 B 0.000 0.000 0.000
2 Zn 0.750 0.750 0.750
3 Li 0.250 0.250 0.250


No. 9
DFT (PBE-GGA) results for LiZn2B after structural relaxation.

Calculated values
space group: F-43m (216)
energy: -9.5 eV/f.u.

Lattice parameters (Å, degrees): 4.048 4.048 4.048 60.00 60.00 60.00
Fractional positions:
1 B 0.250 0.250 0.250
2 Li 0.000 0.000 0.000
3 Zn 0.500 0.500 0.500
4 Zn 0.750 0.750 0.750


No. 10
DFT (PBE-GGA) results for Li2ZnB after structural relaxation.

Calculated values
space group: F-43m (216)
energy: -11.2 eV/f.u.

Lattice parameters (Å, degrees): 3.916 3.916 3.916 60.00 60.00 60.00
Fractional positions:
1 Li 0.750 0.750 0.750
2 Li 0.000 0.000 0.000
3 Zn 0.250 0.250 0.250
4 B 0.500 0.500 0.500


No. 11
DFT (PBE-GGA) results for LiZr2B after structural relaxation.

Calculated values
space group: F-43m (216)
spin magnetization: 3.2 μB per formula unit
energy: -22.4 eV/f.u.

Lattice parameters (Å, degrees): 4.572 4.572 4.572 60.00 60.00 60.00
Fractional positions:
1 Zr 0.750 0.750 0.750
2 Zr 0.000 0.000 0.000
3 B 0.500 0.500 0.500
4 Li 0.250 0.250 0.250


No. 12
DFT (PBE-GGA) results for LiZrB after structural relaxation.

Calculated values
polymorph energy (0 for the lowest one): 0 meV/atom
space group: F-43m (216)
spin magnetization: 0.0 μB per formula unit
energy: -17.4 eV/f.u.

Lattice parameters (Å, degrees): 3.938 3.938 3.938 60.00 60.00 60.00
Fractional positions:
1 Li 0.750 0.750 0.750
2 B 0.000 0.000 0.000
3 Zr 0.250 0.250 0.250